1.
{"formula": "Li3AsRh", "functional": "GGA-PBE", "state": "relaxed", "e_above_lowest_polymorph_mev_per_atom": 0.0, "volume_a3_per_cell": 96.20, "dft_energy_ev_per_atom": -3.28, "ef_ev_per_atom": 0.27, "cell": [[4.5821, 0.0000, 0.0000], [0.0000, 4.5821, 0.0000], [0.0000, 0.0000, 4.5821]], "species": ["Li", "Li", "Li", "As", "Rh"], "frac_coords": [[0.0000, 0.0000, 0.5000], [0.0000, 0.5000, 0.0000], [0.5000, 0.0000, 0.0000], [0.0000, 0.0000, 0.0000], [0.5000, 0.5000, 0.5000]]}

2.
{"formula": "LiAs3Rh", "functional": "GGA-PBE", "state": "relaxed", "e_above_lowest_polymorph_mev_per_atom": 0.0, "volume_a3_per_cell": 115.14, "dft_energy_ev_per_atom": -4.39, "ef_ev_per_atom": 0.26, "cell": [[4.8650, 0.0000, 0.0000], [0.0000, 4.8650, 0.0000], [0.0000, 0.0000, 4.8650]], "species": ["Li", "As", "As", "As", "Rh"], "frac_coords": [[0.0000, 0.0000, 0.0000], [0.0000, 0.5000, 0.5000], [0.5000, 0.0000, 0.5000], [0.5000, 0.5000, 0.0000], [0.5000, 0.5000, 0.5000]]}

3.
{"formula": "LiAsRh2", "functional": "GGA-PBE", "state": "relaxed", "volume_a3_per_cell": 57.76, "dft_energy_ev_per_atom": -5.66, "ef_ev_per_atom": -0.34, "cell": [[2.8603, 0.0000, 0.0000], [0.0000, 4.3991, 0.0000], [-1.4229, 0.0000, 4.5905]], "species": ["Li", "As", "Rh", "Rh"], "frac_coords": [[0.0000, 0.0000, 0.0000], [0.3779, 0.5000, 0.7561], [0.2625, 0.0000, 0.5243], [0.6468, 0.5000, 0.2912]]}

4.
{"formula": "LiAs2Rh", "functional": "GGA-PBE", "state": "relaxed", "e_above_lowest_polymorph_mev_per_atom": 121.8, "volume_a3_per_cell": 122.49, "dft_energy_ev_per_atom": -4.92, "ef_ev_per_atom": -0.28, "cell": [[5.5420, 0.0000, 0.0000], [0.0000, 7.2897, 0.0000], [-0.0068, 0.0000, 3.0320]], "species": ["Li", "Li", "As", "As", "As", "As", "Rh", "Rh"], "frac_coords": [[0.0000, 0.0000, 0.0000], [0.5000, 0.5000, 0.0000], [0.2500, 0.2500, 0.5000], [0.2500, 0.7500, 0.5000], [0.7500, 0.2500, 0.5000], [0.7500, 0.7500, 0.5000], [0.0000, 0.5000, 0.0000], [0.5000, 0.0000, 0.0000]]}

5.
{"formula": "Li2AsRh", "functional": "GGA-PBE", "state": "relaxed", "volume_a3_per_cell": 58.51, "dft_energy_ev_per_atom": -4.38, "ef_ev_per_atom": -0.42, "cell": [[3.2015, 0.0000, 0.0000], [0.0000, 3.2015, 0.0000], [0.0000, 0.0000, 5.7080]], "species": ["Li", "Li", "As", "Rh"], "frac_coords": [[0.0000, 0.0000, 0.0000], [0.5000, 0.5000, 0.2667], [0.5000, 0.5000, 0.7363], [0.0000, 0.0000, 0.5264]]}

6.
{"formula": "Li4As6Rh7", "functional": "GGA-PBE", "state": "relaxed", "volume_a3_per_cell": 259.40, "dft_energy_ev_per_atom": -5.72, "ef_ev_per_atom": -0.60, "cell": [[-4.0176, 4.0176, 4.0176], [4.0176, -4.0176, 4.0176], [4.0176, 4.0176, -4.0176]], "species": ["Li", "Li", "Li", "Li", "As", "As", "As", "As", "As", "As", "Rh", "Rh", "Rh", "Rh", "Rh", "Rh", "Rh"], "frac_coords": [[0.0000, 0.0000, 0.5000], [0.0000, 0.5000, 0.0000], [0.5000, 0.0000, 0.0000], [0.5000, 0.5000, 0.5000], [0.0000, 0.3128, 0.3128], [0.0000, 0.6872, 0.6872], [0.3128, 0.0000, 0.3128], [0.3128, 0.3128, 0.0000], [0.6872, 0.0000, 0.6872], [0.6872, 0.6872, 0.0000], [0.0000, 0.0000, 0.0000], [0.2500, 0.5000, 0.7500], [0.2500, 0.7500, 0.5000], [0.5000, 0.2500, 0.7500], [0.5000, 0.7500, 0.2500], [0.7500, 0.2500, 0.5000], [0.7500, 0.5000, 0.2500]]}

7.
{"formula": "LiAsRh2", "functional": "GGA-PBE", "state": "relaxed", "volume_a3_per_cell": 112.13, "dft_energy_ev_per_atom": -5.63, "ef_ev_per_atom": -0.31, "cell": [[8.2239, 0.0000, 0.0000], [0.0000, 2.8849, 0.0000], [-0.7802, 0.0000, 4.7263]], "species": ["Li", "Li", "As", "As", "Rh", "Rh", "Rh", "Rh"], "frac_coords": [[0.0000, 0.0000, 0.0000], [0.5000, 0.5000, 0.0000], [0.0000, 0.5000, 0.5000], [0.5000, 0.0000, 0.5000], [0.2449, 0.0000, 0.7444], [0.2551, 0.5000, 0.2556], [0.7449, 0.5000, 0.7444], [0.7551, 0.0000, 0.2556]]}

8.
{"formula": "Li6AsRh2", "functional": "GGA-PBE", "state": "relaxed", "volume_a3_per_cell": 121.63, "dft_energy_ev_per_atom": -3.78, "ef_ev_per_atom": -0.35, "cell": [[3.7246, 2.1504, 2.5315], [-3.7246, 2.1504, 2.5315], [0.0000, -4.3008, 2.5315]], "species": ["Li", "Li", "Li", "Li", "Li", "Li", "As", "Rh", "Rh"], "frac_coords": [[0.0000, 0.3300, 0.6700], [0.0000, 0.6700, 0.3300], [0.3300, 0.0000, 0.6700], [0.3300, 0.6700, 0.0000], [0.6700, 0.0000, 0.3300], [0.6700, 0.3300, 0.0000], [0.5000, 0.5000, 0.5000], [0.1691, 0.1691, 0.1691], [0.8309, 0.8309, 0.8309]]}

9.
{"formula": "LiAsRh", "functional": "GGA-PBE", "state": "relaxed", "volume_a3_per_cell": 190.26, "dft_energy_ev_per_atom": -5.10, "ef_ev_per_atom": -0.46, "cell": [[5.7515, 0.0000, 0.0000], [0.0000, 5.7515, 0.0000], [0.0000, 0.0000, 5.7515]], "species": ["Li", "Li", "Li", "Li", "As", "As", "As", "As", "Rh", "Rh", "Rh", "Rh"], "frac_coords": [[0.0000, 0.0000, 0.0000], [0.0000, 0.5000, 0.5000], [0.5000, 0.0000, 0.5000], [0.5000, 0.5000, 0.0000], [0.2500, 0.2500, 0.7500], [0.2500, 0.7500, 0.2500], [0.7500, 0.2500, 0.2500], [0.7500, 0.7500, 0.7500], [0.0000, 0.0000, 0.5000], [0.0000, 0.5000, 0.0000], [0.5000, 0.0000, 0.0000], [0.5000, 0.5000, 0.5000]]}

10.
{"formula": "LiAs2Rh", "functional": "GGA-PBE", "state": "relaxed", "e_above_lowest_polymorph_mev_per_atom": 293.5, "volume_a3_per_cell": 361.34, "dft_energy_ev_per_atom": -4.75, "ef_ev_per_atom": -0.11, "cell": [[6.3059, 0.0000, 0.0000], [0.0000, 6.3059, 0.0000], [0.0000, 0.0000, 9.0872]], "species": ["Li", "Li", "Li", "Li", "As", "As", "As", "As", "As", "As", "As", "As", "Rh", "Rh", "Rh", "Rh"], "frac_coords": [[0.0000, 0.0000, 0.0000], [0.0000, 0.5000, 0.2500], [0.5000, 0.0000, 0.7500], [0.5000, 0.5000, 0.5000], [0.2087, 0.2500, 0.6250], [0.2500, 0.7087, 0.8750], [0.2500, 0.7913, 0.3750], [0.2913, 0.2500, 0.1250], [0.7087, 0.7500, 0.1250], [0.7500, 0.2087, 0.3750], [0.7500, 0.2913, 0.8750], [0.7913, 0.7500, 0.6250], [0.0000, 0.0000, 0.5000], [0.0000, 0.5000, 0.7500], [0.5000, 0.0000, 0.2500], [0.5000, 0.5000, 0.0000]]}

11.
{"formula": "Li2AsRh", "functional": "GGA-PBE", "state": "relaxed", "volume_a3_per_cell": 55.43, "dft_energy_ev_per_atom": -4.42, "ef_ev_per_atom": -0.46, "cell": [[3.1048, 0.0000, 0.0000], [0.0000, 4.0178, 0.0000], [0.0000, 0.0000, 4.4433]], "species": ["Li", "Li", "As", "Rh"], "frac_coords": [[0.0000, 0.0000, 0.0000], [0.5000, 0.5000, 0.1061], [0.5000, 0.0000, 0.4866], [0.0000, 0.5000, 0.6055]]}

12.
{"formula": "Li3As4Ru2Rh2", "functional": "GGA-PBE", "state": "relaxed", "volume_a3_per_cell": 174.26, "dft_energy_ev_per_atom": -5.60, "ef_ev_per_atom": -0.36, "cell": [[4.1709, 0.0000, 0.0000], [-2.0854, 3.6121, 0.0000], [0.0000, 0.0000, 11.5667]], "species": ["Li", "Li", "Li", "As", "As", "As", "As", "Ru", "Ru", "Rh", "Rh"], "frac_coords": [[0.0000, 0.0000, 0.0000], [0.0000, 0.0000, 0.2625], [0.0000, 0.0000, 0.7375], [0.3333, 0.6667, 0.3694], [0.3333, 0.6667, 0.8968], [0.6667, 0.3333, 0.1032], [0.6667, 0.3333, 0.6306], [0.3333, 0.6667, 0.5787], [0.6667, 0.3333, 0.4213], [0.3333, 0.6667, 0.1203], [0.6667, 0.3333, 0.8797]]}

13.
{"formula": "LiAsRhSe2", "functional": "GGA-PBE", "state": "relaxed", "e_above_lowest_polymorph_mev_per_atom": 0.0, "volume_a3_per_cell": 121.07, "dft_energy_ev_per_atom": -4.13, "raw_formation_energy_mev_per_atom": 48, "cell": [[5.1555, 0.0000, 0.0000], [0.0000, 5.1555, 0.0000], [0.0000, 0.0000, 4.5551]], "species": ["Li", "As", "Rh", "Se", "Se"], "frac_coords": [[0.0000, 0.0000, 0.0000], [0.5000, 0.5000, 0.0000], [0.5000, 0.5000, 0.5000], [0.0000, 0.5000, 0.5000], [0.5000, 0.0000, 0.5000]]}

14.
{"formula": "LiSmAsRh", "functional": "GGA-PBE", "state": "relaxed", "volume_a3_per_cell": 276.93, "dft_energy_ev_per_atom": -5.42, "ef_ev_per_atom": -0.76, "cell": [[6.5182, 0.0000, 0.0000], [0.0000, 6.5182, 0.0000], [0.0000, 0.0000, 6.5182]], "species": ["Li", "Li", "Li", "Li", "Sm", "Sm", "Sm", "Sm", "As", "As", "As", "As", "Rh", "Rh", "Rh", "Rh"], "frac_coords": [[0.0000, 0.0000, 0.0000], [0.0000, 0.5000, 0.5000], [0.5000, 0.0000, 0.5000], [0.5000, 0.5000, 0.0000], [0.2500, 0.2500, 0.2500], [0.2500, 0.7500, 0.7500], [0.7500, 0.2500, 0.7500], [0.7500, 0.7500, 0.2500], [0.2500, 0.2500, 0.7500], [0.2500, 0.7500, 0.2500], [0.7500, 0.2500, 0.2500], [0.7500, 0.7500, 0.7500], [0.0000, 0.0000, 0.5000], [0.0000, 0.5000, 0.0000], [0.5000, 0.0000, 0.0000], [0.5000, 0.5000, 0.5000]]}

15.
{"formula": "LiSm2As4Rh3", "functional": "GGA-PBE", "state": "relaxed", "volume_a3_per_cell": 185.14, "dft_energy_ev_per_atom": -6.10, "ef_ev_per_atom": -0.90, "cell": [[4.2823, 0.0000, 0.0000], [0.0000, 4.2823, 0.0000], [0.0000, 0.0000, 10.0954]], "species": ["Li", "Sm", "Sm", "As", "As", "As", "As", "Rh", "Rh", "Rh"], "frac_coords": [[0.0000, 0.0000, 0.0000], [0.0000, 0.5000, 0.7480], [0.5000, 0.0000, 0.2520], [0.0000, 0.0000, 0.5000], [0.0000, 0.5000, 0.1370], [0.5000, 0.0000, 0.8630], [0.5000, 0.5000, 0.5000], [0.0000, 0.5000, 0.3795], [0.5000, 0.0000, 0.6205], [0.5000, 0.5000, 0.0000]]}

16.
{"formula": "LiSmAs2Rh5", "functional": "GGA-PBE", "state": "relaxed", "volume_a3_per_cell": 155.93, "dft_energy_ev_per_atom": -6.37, "ef_ev_per_atom": -0.51, "cell": [[4.1563, 0.0000, 0.0000], [0.0000, 4.1563, 0.0000], [0.0000, 0.0000, 9.0264]], "species": ["Li", "Sm", "As", "As", "Rh", "Rh", "Rh", "Rh", "Rh"], "frac_coords": [[0.0000, 0.0000, 0.0000], [0.0000, 0.0000, 0.5000], [0.5000, 0.5000, 0.1395], [0.5000, 0.5000, 0.8605], [0.0000, 0.5000, 0.2682], [0.0000, 0.5000, 0.7318], [0.5000, 0.0000, 0.2682], [0.5000, 0.0000, 0.7318], [0.5000, 0.5000, 0.5000]]}

17.
{"formula": "LiSnAsRh2", "functional": "GGA-PBE", "state": "relaxed", "volume_a3_per_cell": 80.68, "dft_energy_ev_per_atom": -4.75, "ef_ev_per_atom": 0.31, "cell": [[4.4146, 0.0000, 0.0000], [0.0000, 4.4146, 0.0000], [0.0000, 0.0000, 4.1399]], "species": ["Li", "Sn", "As", "Rh", "Rh"], "frac_coords": [[0.0000, 0.0000, 0.0000], [0.5000, 0.5000, 0.5000], [0.0000, 0.0000, 0.5000], [0.0000, 0.5000, 0.0000], [0.5000, 0.0000, 0.0000]]}

18.
{"formula": "LiSnAsRh", "functional": "GGA-PBE", "state": "relaxed", "volume_a3_per_cell": 268.90, "dft_energy_ev_per_atom": -4.83, "ef_ev_per_atom": -0.35, "cell": [[6.4545, 0.0000, 0.0000], [0.0000, 6.4545, 0.0000], [0.0000, 0.0000, 6.4545]], "species": ["Li", "Li", "Li", "Li", "Sn", "Sn", "Sn", "Sn", "As", "As", "As", "As", "Rh", "Rh", "Rh", "Rh"], "frac_coords": [[0.0000, 0.0000, 0.0000], [0.0000, 0.5000, 0.5000], [0.5000, 0.0000, 0.5000], [0.5000, 0.5000, 0.0000], [0.2500, 0.2500, 0.2500], [0.2500, 0.7500, 0.7500], [0.7500, 0.2500, 0.7500], [0.7500, 0.7500, 0.2500], [0.2500, 0.2500, 0.7500], [0.2500, 0.7500, 0.2500], [0.7500, 0.2500, 0.2500], [0.7500, 0.7500, 0.7500], [0.0000, 0.0000, 0.5000], [0.0000, 0.5000, 0.0000], [0.5000, 0.0000, 0.0000], [0.5000, 0.5000, 0.5000]]}

19.
{"formula": "Sr2LiAs3Rh4", "functional": "GGA-PBE", "state": "relaxed", "volume_a3_per_cell": 186.05, "dft_energy_ev_per_atom": -5.61, "ef_ev_per_atom": -0.75, "cell": [[4.2080, 0.0000, 0.0000], [0.0000, 4.2080, 0.0000], [0.0000, 0.0000, 10.5069]], "species": ["Sr", "Sr", "Li", "As", "As", "As", "Rh", "Rh", "Rh", "Rh"], "frac_coords": [[0.0000, 0.5000, 0.2415], [0.5000, 0.0000, 0.7585], [0.5000, 0.5000, 0.0000], [0.0000, 0.0000, 0.0000], [0.0000, 0.5000, 0.6330], [0.5000, 0.0000, 0.3670], [0.0000, 0.0000, 0.5000], [0.0000, 0.5000, 0.8682], [0.5000, 0.0000, 0.1318], [0.5000, 0.5000, 0.5000]]}

20.
{"formula": "Sr2Li3As4Rh", "functional": "GGA-PBE", "state": "relaxed", "volume_a3_per_cell": 198.90, "dft_energy_ev_per_atom": -4.28, "ef_ev_per_atom": -0.78, "cell": [[4.4320, 0.0000, 0.0000], [0.0000, 4.4320, 0.0000], [0.0000, 0.0000, 10.1257]], "species": ["Sr", "Sr", "Li", "Li", "Li", "As", "As", "As", "As", "Rh"], "frac_coords": [[0.0000, 0.5000, 0.2470], [0.5000, 0.0000, 0.7530], [0.0000, 0.5000, 0.8717], [0.5000, 0.0000, 0.1283], [0.5000, 0.5000, 0.5000], [0.0000, 0.0000, 0.0000], [0.0000, 0.5000, 0.6182], [0.5000, 0.0000, 0.3818], [0.5000, 0.5000, 0.0000], [0.0000, 0.0000, 0.5000]]}